The following is a DFT calculation (GGA+U) of a relaxed structure of SrFe2O4.

E_tot = -366.80 eV/cell

Lattice parameters (Å, degrees): 8.2752 11.0092 12.2803 90.00 130.62 90.00
Space group P2_1/c (No. 14)
One atom of each set of equivalent atoms:
Sr (0.1998, 0.1535, 0.1995) (multiplicity 4)
Sr (0.2312, 0.6139, 0.2274) (multiplicity 4)
Fe (0.1603, 0.1135, 0.9049) (multiplicity 4)
Fe (0.2619, 0.6167, 0.9300) (multiplicity 4)
Fe (0.3411, 0.1372, 0.5667) (multiplicity 4)
Fe (0.4041, 0.6328, 0.5929) (multiplicity 4)
O (0.0942, 0.2398, 0.4542) (multiplicity 4)
O (0.0972, 0.5373, 0.7494) (multiplicity 4)
O (0.1850, 0.7121, 0.4116) (multiplicity 4)
O (0.2459, 0.5233, 0.0537) (multiplicity 4)
O (0.3088, 0.0274, 0.0820) (multiplicity 4)
O (0.3140, 0.1064, 0.8388) (multiplicity 4)
O (0.4442, 0.1401, 0.4682) (multiplicity 4)
O (0.4724, 0.7214, 0.7524) (multiplicity 4)